No. 1
Computed, not measured: an optimized crystal structure of Sr2InFe at the PBE level of DFT.

a b c (Å): 10.786 10.786 8.034
angles (deg): 47.84 47.84 90.00
Sites, in units of the cell vectors:
Sr1 0.454 0.125 0.250
Sr2 0.296 0.625 0.250
Sr3 0.375 0.546 0.750
Sr4 0.875 0.704 0.750
Fe1 0.500 0.500 0.000
Fe2 0.250 0.750 0.500
In1 0.000 0.000 0.000
In2 0.750 0.250 0.500

Summary:
energy of formation from the pure elements: 0.411 eV/atom
DFT total energy: -3.230 eV per atom
DOS(E_F): 14.80 states/eV per cell
spin magnetization: 0.0 Bohr magnetons per cell

=====

No. 2
Computed, not measured: an optimized crystal structure of ThMg5Hg2 at the PBE level of DFT.

a b c (Å): 3.444 7.664 7.664
angles (deg): 75.26 77.02 77.02
Sites, in units of the cell vectors:
Th1 0.000 0.000 0.000
Mg1 0.000 0.500 0.500
Mg2 0.636 0.582 0.146
Mg3 0.364 0.418 0.854
Mg4 0.364 0.854 0.418
Mg5 0.636 0.146 0.582
Hg1 0.746 0.754 0.754
Hg2 0.254 0.246 0.246

Summary:
energy of formation from the pure elements: -0.154 eV/atom
DFT total energy: -2.154 eV per atom
DOS(E_F): 3.95 states/eV per cell
spin magnetization: 0.0 Bohr magnetons per cell

=====

No. 3
Computed, not measured: an optimized crystal structure of MgCrFe2 at the PBE level of DFT.

a b c (Å): 4.960 4.960 4.960
angles (deg): 146.17 129.07 62.55
Each line ends with the local moment (μB).
Sites, in units of the cell vectors:
Cr1 0.229 0.729 0.500  -2.06
Fe1 0.000 0.000 0.000  1.88
Fe2 0.769 0.269 0.500  2.08
Mg1 0.503 0.503 0.000  -0.02

Summary:
energy of formation from the pure elements: 0.288 eV/atom
DFT total energy: -6.748 eV per atom
DOS(E_F): 3.88 states/eV per cell
spin magnetization: 1.7 Bohr magnetons per cell

=====

Which value of DFT total energy does entry 1 give? -3.230 eV per atom

=====

Which value of energy of formation from the pure elements does entry 1 give? 0.411 eV/atom

=====

DFT total energy of number 1 (Sr2InFe)? -3.230 eV per atom